A plane-wave DFT calculation with PBE was carried out for a relaxed Li4CaZn crystal.

Output
DFT formation energy	-48.4	meV/atom
M_tot	0.0	μB per formula unit
energy above the most stable polymorph in this dataset	0.000	eV per atom
E	-22.443	eV/cell
N(E_F)	0.517	states/eV/atom
crystal system	orthorhombic

Cell lengths 4.241, 7.644, 8.334 Å; angles 90.00, 90.00, 90.00 degrees
Sites, in units of the cell vectors:
Li1 0.000 0.000 0.500
Li2 0.000 0.000 0.000
Li3 0.500 0.971 0.750
Li4 0.500 0.029 0.250
Li5 0.500 0.701 0.063
Li6 0.500 0.299 0.937
Li7 0.500 0.701 0.437
Li8 0.500 0.299 0.563
Ca1 0.000 0.610 0.750
Ca2 0.000 0.390 0.250
Zn1 0.000 0.210 0.750
Zn2 0.000 0.790 0.250